No. 1
Computed, not measured: a geometry-optimized CrFe2Si structure at the PBE level of DFT.

Cell: 4.403 4.403 4.403 Å, 133.41 133.41 68.01°
Element x y z (fractional)
Cr 0.750 0.250 0.500
Si 0.500 0.500 0.000
Fe 0.250 0.750 0.500
Fe 0.000 0.000 0.000

Its formation energy without anion corrections is -158 meV per atom. The calculation puts the density of states at the Fermi level at 1.204 states/eV per atom. Its magnetization is 2.1 μB per formula unit. As for the energy: -8.1510 eV/atom.

***

No. 2
Computed, not measured: a geometry-optimized CrFeSi structure at the PBE level of DFT.

Cell: 3.934 3.934 4.904 Å, 90.00 90.00 120.00°
Element x y z (fractional)
Cr 0.333 0.667 0.090
Fe 0.333 0.667 0.583
Fe 0.000 0.000 0.901
Si 0.667 0.333 0.752
Cr 0.667 0.333 0.243
Si 0.000 0.000 0.406

Its formation energy without anion corrections is -305 meV per atom. The calculation puts the density of states at the Fermi level at 0.804 states/eV per atom. Its magnetization is 0.1 μB per formula unit. As for the energy: -8.1413 eV/atom.

***

No. 3
Computed, not measured: a geometry-optimized Cr2FeSi structure at the PBE level of DFT.

Cell: 2.872 3.823 4.081 Å, 90.00 90.00 90.00°
Element x y z (fractional)
Cr 0.000 0.000 0.000
Si 0.000 0.500 0.500
Cr 0.500 0.500 0.000
Fe 0.500 0.000 0.500

Its formation energy without anion corrections is -221 meV per atom. The calculation puts the density of states at the Fermi level at 0.793 states/eV per atom. Its magnetization is 0.1 μB per formula unit. As for the energy: -8.5042 eV/atom.